Entry from Alexandria via LeMat-Bulk: LaInNi after structural relaxation (PBE-GGA).

Calculated formation energy   -0.475 eV/atom
Space group   P-62m, No. 189
V   204.0 Å³ per cell

abc: 7.563 7.563 4.119
angles: 90.00 90.00 120.00
Fractional positions:
La 0.000 0.415 0.000
La 0.415 0.000 0.000
La 0.585 0.585 0.000
In 0.000 0.758 0.500
In 0.242 0.242 0.500
In 0.758 0.000 0.500
Ni 0.000 0.000 0.000
Ni 0.333 0.667 0.500
Ni 0.667 0.333 0.500